VASP calculation (GGA-PBE) on a relaxed structure of K3NpO8.

abc: 8.9136 6.7854 8.3638
angles: 59.48 90.00 90.00
Last column: nearest neighbours and their distance in Å.
Sites, in units of the cell vectors:
K 0.0000 0.0000 0.5000  6 O 2.73-2.83
K 0.5000 0.0000 0.0000  6 O 2.73-2.83
K 0.2776 0.5709 0.4310  9 O 2.78-3.11
K 0.7776 0.4291 0.0690  9 O 2.78-3.11
K 0.7224 0.4291 0.5690  9 O 2.78-3.11
K 0.2224 0.5709 0.9310  9 O 2.78-3.11
Np 0.5000 0.0000 0.5000  4 O 1.90
Np 0.0000 0.0000 0.0000  4 O 1.90
O 0.5565 0.6835 0.8115  1 O 1.35
O 0.0565 0.3165 0.6885  1 O 1.35
O 0.4435 0.3165 0.1885  1 O 1.35
O 0.9435 0.6835 0.3115  1 O 1.35
O 0.2980 0.8948 0.5464  1 Np 1.90
O 0.7980 0.1052 0.9536  1 Np 1.90
O 0.7020 0.1052 0.4536  1 Np 1.90
O 0.2020 0.8948 0.0464  1 Np 1.90
O 0.5355 0.8256 0.3838  1 Np 1.90
O 0.0355 0.1744 0.1162  1 Np 1.90
O 0.4645 0.1744 0.6162  1 Np 1.90
O 0.9645 0.8256 0.8838  1 Np 1.90
O 0.5220 0.4820 0.8261  1 O 1.35
O 0.0220 0.5180 0.6739  1 O 1.35
O 0.4780 0.5180 0.1739  1 O 1.35
O 0.9780 0.4820 0.3261  1 O 1.35

## Properties
energy: -0.465 Ry/atom
uncorrected formation energy: -1.67 eV/atom
total magnetic moment: 2.0 μB per formula unit